# Sr4LaBr PBE optimized geometry
data_Sr4LaBr
_chemical_formula_sum 'Sr16 La4 Br4'
_symmetry_space_group_name_H-M 'F -4 3 m'
_symmetry_Int_Tables_number 216
_symmetry_space_group_name_Hall 'F -4 2 3'
_cell_length_a 10.737
_cell_length_b 10.737
_cell_length_c 10.737
_cell_angle_alpha 90.00
_cell_angle_beta 90.00
_cell_angle_gamma 90.00
loop_
_atom_site_label
_atom_site_fract_x
_atom_site_fract_y
_atom_site_fract_z
Sr1 0.124 0.124 0.376
La1 0.250 0.250 0.750
Br1 0.000 0.000 0.000
# formation energy (no corrections) = 0.18 eV per atom